5
Lattice="4.593 0.000 0.000 0.000 4.339 0.000 0.000 0.000 4.593" Properties=species:S:1:pos:R:3 comment="CdNiRh2W, optimized geometry, DFT PBE-GGA" n_ef_per_ev_atom=1.245 e_tot_ev_per_atom=-5.750 formation_energy_mev_per_atom=1121 total_magnetization_mub_per_fu=1.2 sg=P4/mmm pbc="T T T"
Cd 2.297 2.170 2.297
Ni 0.000 0.000 0.000
W 0.000 2.170 0.000
Rh 0.000 0.000 2.297
Rh 2.297 0.000 0.000

7
Lattice="-3.563 -0.499 0.936 0.774 -3.468 1.095 0.027 0.454 7.729" Properties=species:S:1:pos:R:3 comment="Ti4V2H, optimized geometry, DFT PBE-GGA" n_ef_per_ev_atom=1.244 e_tot_ev_per_atom=-7.371 total_magnetization_mub_per_fu=0.0 sg=I4/mmm pbc="T T T"
Ti -2.254 -3.049 4.559
V -1.017 -1.336 2.800
V -1.746 -2.177 6.961
H 0.000 0.000 0.000
Ti -0.508 -0.464 5.201
Ti -1.782 -0.250 0.468
Ti 0.387 -1.734 0.548

8
Lattice="-1.694 -6.066 -2.015 2.016 4.462 -4.443 5.652 -1.333 2.855" Properties=species:S:1:pos:R:3 comment="ReAgCl6, optimized geometry, DFT PBE-GGA" n_ef_per_ev_atom=0.889 e_tot_ev_per_atom=-3.822 total_magnetization_mub_per_fu=2.0 de_polymorph_ev_per_fu=0.10 sg=C2/m pbc="T T T"
Cl 4.034 -1.364 0.250
Cl 1.941 -1.572 -3.853
Re 2.987 -1.468 -1.801
Cl 4.907 -0.580 -2.826
Cl 3.829 -3.639 -2.121
Ag 0.000 0.000 0.000
Cl 1.067 -2.356 -0.777
Cl 2.146 0.703 -1.482

7
Lattice="-3.257 -3.552 1.475 1.673 -4.137 2.343 -2.139 4.773 15.379" Properties=species:S:1:pos:R:3 comment="Cs2RbHg2Sb2, optimized geometry, DFT PBE-GGA" n_ef_per_ev_atom=0.395 e_tot_ev_per_atom=-1.975 total_magnetization_mub_per_fu=0.0 sg=R-3m pbc="T T T"
Sb -2.917 -1.618 15.492
Hg -2.400 0.996 14.317
Sb -0.806 -1.298 3.705
Cs -1.592 2.284 10.592
Hg -1.323 -3.912 4.880
Rb 0.000 0.000 0.000
Cs -2.131 -5.200 8.605

8
Lattice="9.224 0.000 0.000 0.000 9.224 0.000 4.612 4.612 3.400" Properties=species:S:1:pos:R:3 comment="Na2CaMg, optimized geometry, DFT PBE-GGA" n_ef_per_ev_atom=0.768 e_tot_ev_per_atom=-1.336 formation_energy_mev_per_atom=223 total_magnetization_mub_per_fu=0.0 sg=I-42d pbc="T T T"
Na 11.529 11.234 2.550
Na 2.601 6.918 0.850
Na 6.622 2.306 0.850
Ca 0.000 0.000 0.000
Na 6.918 7.213 2.550
Mg 4.612 4.612 0.000
Mg 4.612 9.224 1.700
Ca 9.224 4.612 1.700

7
Lattice="4.276 0.000 0.000 0.000 4.196 0.000 0.000 -2.098 8.748" Properties=species:S:1:pos:R:3 comment="RbZn4Ge2, optimized geometry, DFT PBE-GGA" n_ef_per_ev_atom=0.255 e_tot_ev_per_atom=-2.199 formation_energy_mev_per_atom=-14 total_magnetization_mub_per_fu=0.0 sg=Cmmm pbc="T T T"
Zn 2.138 0.000 3.529
Rb 0.000 0.000 0.000
Ge 2.138 0.000 6.679
Zn 0.000 2.098 3.409
Zn 2.138 2.098 5.219
Zn 0.000 0.000 5.339
Ge 2.138 2.098 2.069

What did the first record say?
5
Lattice="4.593 0.000 0.000 0.000 4.339 0.000 0.000 0.000 4.593" Properties=species:S:1:pos:R:3 comment="CdNiRh2W, optimized geometry, DFT PBE-GGA" n_ef_per_ev_atom=1.245 e_tot_ev_per_atom=-5.750 formation_energy_mev_per_atom=1121 total_magnetization_mub_per_fu=1.2 sg=P4/mmm pbc="T T T"
Cd 2.297 2.170 2.297
Ni 0.000 0.000 0.000
W 0.000 2.170 0.000
Rh 0.000 0.000 2.297
Rh 2.297 0.000 0.000

Repeat the third record exactly.
8
Lattice="-1.694 -6.066 -2.015 2.016 4.462 -4.443 5.652 -1.333 2.855" Properties=species:S:1:pos:R:3 comment="ReAgCl6, optimized geometry, DFT PBE-GGA" n_ef_per_ev_atom=0.889 e_tot_ev_per_atom=-3.822 total_magnetization_mub_per_fu=2.0 de_polymorph_ev_per_fu=0.10 sg=C2/m pbc="T T T"
Cl 4.034 -1.364 0.250
Cl 1.941 -1.572 -3.853
Re 2.987 -1.468 -1.801
Cl 4.907 -0.580 -2.826
Cl 3.829 -3.639 -2.121
Ag 0.000 0.000 0.000
Cl 1.067 -2.356 -0.777
Cl 2.146 0.703 -1.482